# 1
A plane-wave DFT calculation with GGA-PBEsol was carried out for TiInS2 after structural relaxation.

As for the crystal system: trigonal. The density of states at the Fermi level is 5.7 states/eV per cell. The uncorrected formation energy is -1.059 eV/atom. As for the density: 4.67 g/cm³.

It has space group R-3m (No. 166, hexagonal axes), with a = 3.3148 Å, b = 3.3148 Å, c = 25.4478 Å, α = 90.00°, β = 90.00° and γ = 120.00°. The inequivalent atoms are Ti at (0.0000, 0.0000, 0.0000), In at (0.0000, 0.0000, 0.5000) and S at (0.0000, 0.0000, 0.3903).

=====

# 2
A plane-wave DFT calculation with GGA-PBEsol was carried out for TlInS2 after structural relaxation.

As for the crystal system: monoclinic. The uncorrected formation energy is -0.507 eV/atom. As for the density: 5.88 g/cm³.

It has space group C2/c (No. 15), with a = 10.850 Å, b = 10.837 Å, c = 14.972 Å, α = 90.00°, β = 100.26° and γ = 90.00°. The inequivalent atoms are Tl at (0.014, 0.170, 0.384), Tl at (0.202, 0.458, 0.120), In at (0.103, 0.185, 0.652), In at (0.145, 0.434, 0.846), S at (0.000, 0.051, 0.750), S at (0.000, 0.422, 0.250), S at (0.025, 0.332, 0.949), S at (0.182, 0.036, 0.552) and S at (0.237, 0.193, 0.248).

=====

# 3
A plane-wave DFT calculation with GGA-PBEsol was carried out for TlIn2S2 after structural relaxation.

As for the crystal system: tetragonal. The density of states at the Fermi level is 2.2 states/eV per cell. The uncorrected formation energy is -0.345 eV/atom. As for the density: 6.82 g/cm³.

It has space group I4/mmm (No. 139), with a = 5.078 Å, b = 5.078 Å, c = 9.405 Å, α = 90.00°, β = 90.00° and γ = 90.00°. The inequivalent atoms are Tl at (0.000, 0.000, 0.000), In at (0.000, 0.000, 0.349) and S at (0.000, 0.500, 0.250).